1 | Density functional theory data (GGA-PBE) for a relaxed structure of La6HoEr3.

Results
- Total magnetization: 0.0 μB per formula unit

a = 9.0662 Å, b = 9.0662 Å, c = 9.0662 Å
α = 80.06°, β = 80.06°, γ = 80.06°
Sites, in units of the cell vectors:
La (0.0374, 0.0374, 0.3324)
La (0.0374, 0.3324, 0.0374)
La (0.2122, 0.2122, 0.5932)
La (0.2122, 0.5932, 0.2122)
La (0.3324, 0.0374, 0.0374)
La (0.4068, 0.7878, 0.7878)
La (0.5932, 0.2122, 0.2122)
La (0.6676, 0.9626, 0.9626)
La (0.7878, 0.4068, 0.7878)
La (0.7878, 0.7878, 0.4068)
La (0.9626, 0.6676, 0.9626)
La (0.9626, 0.9626, 0.6676)
Ho (0.0000, 0.0000, 0.0000)
Ho (0.5000, 0.5000, 0.5000)
Er (0.1355, 0.6058, 0.6058)
Er (0.3942, 0.3942, 0.8645)
Er (0.3942, 0.8645, 0.3942)
Er (0.6058, 0.1355, 0.6058)
Er (0.6058, 0.6058, 0.1355)
Er (0.8645, 0.3942, 0.3942)

***

2 | Density functional theory data (GGA-PBE) for a relaxed structure of La6HoEr3.

Results
- Total magnetization: 0.0 μB per formula unit

a = 6.0126 Å, b = 9.7084 Å, c = 13.4389 Å
α = 90.00°, β = 116.50°, γ = 90.00°
Sites, in units of the cell vectors:
La (0.0938, 0.1505, 0.0943)
La (0.0938, 0.3495, 0.5943)
La (0.3087, 0.0483, 0.7498)
La (0.3087, 0.4517, 0.2498)
La (0.4053, 0.1515, 0.4058)
La (0.4053, 0.3485, 0.9058)
La (0.5947, 0.6515, 0.0942)
La (0.5947, 0.8485, 0.5942)
La (0.6913, 0.5483, 0.7502)
La (0.6913, 0.9517, 0.2502)
La (0.9062, 0.6505, 0.4057)
La (0.9062, 0.8495, 0.9057)
Ho (0.0000, 0.0000, 0.5000)
Ho (0.0000, 0.5000, 0.0000)
Er (0.2098, 0.6998, 0.7501)
Er (0.2098, 0.8002, 0.2501)
Er (0.5000, 0.0000, 0.0000)
Er (0.5000, 0.5000, 0.5000)
Er (0.7902, 0.1998, 0.7499)
Er (0.7902, 0.3002, 0.2499)

***

It is 2 that is most stable; the runner-up trails by 0.050 eV/atom.